a:
! PBE-GGA NaSr2Ti, relaxed; values from VASP
&SYSTEM
  ibrav = 0, nat = 4, ntyp = 3
/
ATOMIC_SPECIES
Na 22.99 Na.upf
Sr 87.62 Sr.upf
Ti 47.87 Ti.upf
ATOMIC_POSITIONS angstrom
Na 0.000 0.000 0.000
Sr 2.125 2.125 2.125
Sr 6.376 6.376 6.376
Ti 4.250 4.250 4.250
CELL_PARAMETERS angstrom
0.000 4.250 4.250
4.250 0.000 4.250
4.250 4.250 0.000
! - Crystal system: cubic
! - ρ: 2.66 g/cm3

***

b:
! PBE-GGA NaSr2Ti, relaxed; values from VASP
&SYSTEM
  ibrav = 0, nat = 8, ntyp = 3
/
ATOMIC_SPECIES
Na 22.99 Na.upf
Sr 87.62 Sr.upf
Ti 47.87 Ti.upf
ATOMIC_POSITIONS angstrom
Na 0.000 0.000 0.000
Na 0.000 4.621 1.864
Sr 6.931 2.305 -0.932
Sr 2.305 2.310 0.932
Sr -2.310 2.316 2.796
Sr 2.316 2.310 4.661
Ti 4.621 0.000 1.864
Ti 0.000 0.000 3.729
CELL_PARAMETERS angstrom
-4.621 4.621 3.729
4.621 -4.621 3.729
4.621 4.621 -3.729
! - Crystal system: tetragonal
! - ρ: 2.57 g/cm3

***

Which structure wins on stability? a wins.

***

a:
! PBE-GGA NaSr6Tl, relaxed; values from VASP
&SYSTEM
  ibrav = 0, nat = 8, ntyp = 3
/
ATOMIC_SPECIES
Na 22.99 Na.upf
Sr 87.62 Sr.upf
Tl 204.38 Tl.upf
ATOMIC_POSITIONS angstrom
Na 0.000 0.000 0.000
Sr 3.000 0.000 2.058
Sr 0.000 0.000 5.138
Sr 3.000 0.000 8.237
Sr 0.000 3.000 2.058
Sr 0.000 0.000 15.453
Sr 0.000 3.000 8.237
Tl 0.000 0.000 10.295
CELL_PARAMETERS angstrom
-3.000 3.000 10.295
3.000 -3.000 10.295
3.000 3.000 -10.295
! - Crystal system: tetragonal
! - ρ: 3.37 g/cm3

***

b:
! PBE-GGA NaSr6Tl, relaxed; values from VASP
&SYSTEM
  ibrav = 0, nat = 8, ntyp = 3
/
ATOMIC_SPECIES
Na 22.99 Na.upf
Sr 87.62 Sr.upf
Tl 204.38 Tl.upf
ATOMIC_POSITIONS angstrom
Na 0.000 0.000 0.000
Sr 5.400 5.168 5.074
Sr 8.210 8.142 3.694
Sr 7.126 5.520 0.431
Sr 9.376 4.190 6.478
Sr 8.292 1.568 3.215
Sr 11.102 4.542 1.836
Tl 8.251 4.855 3.455
CELL_PARAMETERS angstrom
8.363 0.000 0.000
4.059 7.315 0.000
4.080 2.395 6.909
! - Crystal system: triclinic
! - ρ: 2.96 g/cm3

***

Which structure wins on stability? a wins.

***

a:
! PBE-GGA NaSrTl4, relaxed; values from VASP
&SYSTEM
  ibrav = 0, nat = 12, ntyp = 3
/
ATOMIC_SPECIES
Na 22.99 Na.upf
Sr 87.62 Sr.upf
Tl 204.38 Tl.upf
ATOMIC_POSITIONS angstrom
Na 2.721 5.712 6.390
Na 2.721 -5.712 2.130
Sr 2.721 1.956 6.390
Sr 2.721 -1.956 2.130
Tl 0.000 0.000 0.000
Tl 0.000 0.000 4.260
Tl 2.721 4.553 0.630
Tl 2.721 4.553 3.630
Tl 2.721 1.314 2.130
Tl 2.721 -1.314 6.390
Tl 2.721 -4.553 4.889
Tl 2.721 -4.553 7.890
CELL_PARAMETERS angstrom
2.721 -8.270 0.000
2.721 8.270 0.000
0.000 0.000 8.520
! - Crystal system: orthorhombic
! - ρ: 8.04 g/cm3

***

b:
! PBE-GGA NaSrTl4, relaxed; values from VASP
&SYSTEM
  ibrav = 0, nat = 6, ntyp = 3
/
ATOMIC_SPECIES
Na 22.99 Na.upf
Sr 87.62 Sr.upf
Tl 204.38 Tl.upf
ATOMIC_POSITIONS angstrom
Na 0.000 0.000 0.000
Sr 6.878 6.878 6.878
Tl 3.436 3.436 3.436
Tl 5.735 5.735 3.436
Tl 5.735 3.436 5.735
Tl 3.436 5.735 5.735
CELL_PARAMETERS angstrom
0.000 4.585 4.585
4.585 0.000 4.585
4.585 4.585 0.000
! - Crystal system: cubic
! - ρ: 7.99 g/cm3

***

c:
! PBE-GGA NaSrTl4, relaxed; values from VASP
&SYSTEM
  ibrav = 0, nat = 6, ntyp = 3
/
ATOMIC_SPECIES
Na 22.99 Na.upf
Sr 87.62 Sr.upf
Tl 204.38 Tl.upf
ATOMIC_POSITIONS angstrom
Na 0.000 0.000 0.000
Sr -2.533 0.000 2.984
Tl 3.831 0.000 0.251
Tl 0.898 0.000 3.723
Tl 6.130 0.000 2.246
Tl 3.197 0.000 5.717
CELL_PARAMETERS angstrom
6.047 -2.615 0.000
6.047 2.615 0.000
-5.066 0.000 5.968
! - Crystal system: monoclinic
! - ρ: 8.16 g/cm3

***

Which structure wins on stability? c wins.

***

a:
! PBE-GGA NaSr3Tl, relaxed; values from VASP
&SYSTEM
  ibrav = 0, nat = 5, ntyp = 3
/
ATOMIC_SPECIES
Na 22.99 Na.upf
Sr 87.62 Sr.upf
Tl 204.38 Tl.upf
ATOMIC_POSITIONS angstrom
Na 0.000 0.000 0.000
Sr 0.000 0.000 3.187
Sr 0.000 3.187 0.000
Sr 3.187 0.000 0.000
Tl 3.187 3.187 3.187
CELL_PARAMETERS angstrom
6.374 0.000 0.000
0.000 6.374 0.000
0.000 0.000 6.374
! - Crystal system: cubic
! - ρ: 3.14 g/cm3

***

b:
! PBE-GGA NaSr3Tl, relaxed; values from VASP
&SYSTEM
  ibrav = 0, nat = 5, ntyp = 3
/
ATOMIC_SPECIES
Na 22.99 Na.upf
Sr 87.62 Sr.upf
Tl 204.38 Tl.upf
ATOMIC_POSITIONS angstrom
Na 0.000 0.000 0.000
Sr 0.000 3.234 3.234
Sr 3.234 0.000 3.234
Sr 3.234 3.234 0.000
Tl 3.234 3.234 3.234
CELL_PARAMETERS angstrom
6.468 0.000 0.000
0.000 6.468 0.000
0.000 0.000 6.468
! - Crystal system: cubic
! - ρ: 3.01 g/cm3

***

c:
! PBE-GGA NaSr3Tl, relaxed; values from VASP
&SYSTEM
  ibrav = 0, nat = 10, ntyp = 3
/
ATOMIC_SPECIES
Na 22.99 Na.upf
Sr 87.62 Sr.upf
Tl 204.38 Tl.upf
ATOMIC_POSITIONS angstrom
Na 2.989 7.754 4.486
Na 2.989 -7.754 1.495
Sr 2.989 9.809 1.495
Sr 2.989 5.677 1.495
Sr 2.989 1.560 1.495
Sr 2.989 -1.560 4.486
Sr 2.989 -5.677 4.486
Sr 2.989 -9.809 4.486
Tl 2.989 3.567 4.486
Tl 2.989 -3.567 1.495
CELL_PARAMETERS angstrom
2.989 -11.389 0.000
2.989 11.389 0.000
0.000 0.000 5.981
! - Crystal system: orthorhombic
! - ρ: 4.00 g/cm3

***

Which structure wins on stability? c wins.

***

a:
! PBE-GGA Na2SrTl2, relaxed; values from VASP
&SYSTEM
  ibrav = 0, nat = 10, ntyp = 3
/
ATOMIC_SPECIES
Na 22.99 Na.upf
Sr 87.62 Sr.upf
Tl 204.38 Tl.upf
ATOMIC_POSITIONS angstrom
Na 1.454 3.053 0.000
Na 3.053 7.560 0.000
Na 5.961 1.454 0.000
Na 7.560 5.961 0.000
Sr 0.000 0.000 2.054
Sr 4.507 4.507 2.054
Tl 1.188 5.695 2.054
Tl 3.318 1.188 2.054
Tl 5.695 7.825 2.054
Tl 7.825 3.318 2.054
CELL_PARAMETERS angstrom
9.013 0.000 0.000
0.000 9.013 0.000
0.000 0.000 4.108
! - Crystal system: tetragonal
! - ρ: 5.40 g/cm3

***

b:
! PBE-GGA Na2SrTl2, relaxed; values from VASP
&SYSTEM
  ibrav = 0, nat = 5, ntyp = 3
/
ATOMIC_SPECIES
Na 22.99 Na.upf
Sr 87.62 Sr.upf
Tl 204.38 Tl.upf
ATOMIC_POSITIONS angstrom
Na 3.078 1.860 0.000
Na 3.078 -1.860 0.000
Sr 0.000 0.000 4.102
Tl 3.078 0.000 2.442
Tl 3.078 0.000 5.762
CELL_PARAMETERS angstrom
3.078 -3.330 0.000
3.078 3.330 0.000
0.000 0.000 8.204
! - Crystal system: orthorhombic
! - ρ: 5.35 g/cm3

***

c:
! PBE-GGA Na2SrTl2, relaxed; values from VASP
&SYSTEM
  ibrav = 0, nat = 10, ntyp = 3
/
ATOMIC_SPECIES
Na 22.99 Na.upf
Sr 87.62 Sr.upf
Tl 204.38 Tl.upf
ATOMIC_POSITIONS angstrom
Na 1.051 3.428 0.000
Na 3.428 7.907 0.000
Na 5.530 1.051 0.000
Na 7.907 5.530 0.000
Sr 0.000 0.000 0.000
Sr 4.479 4.479 0.000
Tl 1.651 6.130 1.946
Tl 2.828 1.651 1.946
Tl 6.130 7.307 1.946
Tl 7.307 2.828 1.946
CELL_PARAMETERS angstrom
8.958 0.000 0.000
0.000 8.958 0.000
0.000 0.000 3.892
! - Crystal system: tetragonal
! - ρ: 5.77 g/cm3

***

d:
! PBE-GGA Na2SrTl2, relaxed; values from VASP
&SYSTEM
  ibrav = 0, nat = 10, ntyp = 3
/
ATOMIC_SPECIES
Na 22.99 Na.upf
Sr 87.62 Sr.upf
Tl 204.38 Tl.upf
ATOMIC_POSITIONS angstrom
Na 2.045 1.312 -6.415
Na 0.000 1.312 5.942
Na 2.045 1.312 9.629
Na 0.000 1.312 21.986
Sr 2.045 1.312 2.321
Sr 0.000 1.312 13.250
Tl 2.045 -1.312 11.632
Tl 2.045 -1.312 14.757
Tl 0.000 3.935 0.814
Tl 0.000 3.935 3.939
CELL_PARAMETERS angstrom
-2.045 2.624 15.571
2.045 -2.624 15.571
2.045 2.624 -15.571
! - Crystal system: orthorhombic
! - ρ: 5.39 g/cm3

***

Which structure wins on stability? d wins.

***

a:
! PBE-GGA Na3SrTl7, relaxed; values from VASP
&SYSTEM
  ibrav = 0, nat = 11, ntyp = 3
/
ATOMIC_SPECIES
Na 22.99 Na.upf
Sr 87.62 Sr.upf
Tl 204.38 Tl.upf
ATOMIC_POSITIONS angstrom
Na 0.000 0.000 0.000
Na 4.281 3.125 3.138
Na 4.281 -3.125 3.138
Sr 5.382 0.000 0.000
Tl 1.467 2.910 5.035
Tl 1.158 0.000 3.386
Tl 7.096 2.910 1.240
Tl 4.281 0.000 3.138
Tl 1.467 -2.910 5.035
Tl 7.404 0.000 2.889
Tl 7.096 -2.910 1.240
CELL_PARAMETERS angstrom
5.382 -5.339 0.000
5.382 5.339 0.000
-2.201 0.000 6.275
! - Crystal system: monoclinic
! - ρ: 7.31 g/cm3

***

b:
! PBE-GGA Na3SrTl7, relaxed; values from VASP
&SYSTEM
  ibrav = 0, nat = 22, ntyp = 3
/
ATOMIC_SPECIES
Na 22.99 Na.upf
Sr 87.62 Sr.upf
Tl 204.38 Tl.upf
ATOMIC_POSITIONS angstrom
Na 1.813 8.503 8.747
Na 1.813 8.503 17.216
Na 1.813 6.161 4.327
Na 1.813 -6.161 12.981
Na 1.813 -8.503 0.092
Na 1.813 -8.503 8.562
Sr 1.813 11.098 4.327
Sr 1.813 -11.098 12.981
Tl 1.813 5.596 10.128
Tl 1.813 5.596 15.835
Tl 1.813 3.041 4.327
Tl 1.813 2.686 11.382
Tl 1.813 2.686 14.580
Tl 1.813 0.231 1.481
Tl 1.813 0.231 7.173
Tl 1.813 -0.231 10.135
Tl 1.813 -0.231 15.828
Tl 1.813 -2.686 2.728
Tl 1.813 -2.686 5.926
Tl 1.813 -3.041 12.981
Tl 1.813 -5.596 1.474
Tl 1.813 -5.596 7.180
CELL_PARAMETERS angstrom
1.813 -11.111 0.000
1.813 11.111 0.000
0.000 0.000 17.308
! - Crystal system: orthorhombic
! - ρ: 7.56 g/cm3

***

Which structure wins on stability? b wins.

***

a:
! PBE-GGA Na2Sr6Tl, relaxed; values from VASP
&SYSTEM
  ibrav = 0, nat = 18, ntyp = 3
/
ATOMIC_SPECIES
Na 22.99 Na.upf
Sr 87.62 Sr.upf
Tl 204.38 Tl.upf
ATOMIC_POSITIONS angstrom
Na 2.355 2.369 0.000
Na 3.461 8.189 3.015
Na 8.171 3.451 3.015
Na 9.276 9.271 0.000
Sr 0.331 3.582 3.015
Sr 1.366 10.283 0.000
Sr 2.236 6.162 0.000
Sr 3.579 0.342 3.015
Sr 4.450 4.463 3.015
Sr 5.484 9.402 0.000
Sr 6.147 2.238 0.000
Sr 7.181 7.177 3.015
Sr 8.052 11.298 3.015
Sr 9.395 5.478 0.000
Sr 10.265 1.357 0.000
Sr 11.300 8.058 3.015
Tl 0.000 0.000 3.015
Tl 5.816 5.820 0.000
CELL_PARAMETERS angstrom
11.631 0.000 0.000
0.000 11.640 0.000
0.000 0.000 6.030
! - Crystal system: orthorhombic
! - ρ: 3.16 g/cm3

***

b:
! PBE-GGA Na2Sr6Tl, relaxed; values from VASP
&SYSTEM
  ibrav = 0, nat = 18, ntyp = 3
/
ATOMIC_SPECIES
Na 22.99 Na.upf
Sr 87.62 Sr.upf
Tl 204.38 Tl.upf
ATOMIC_POSITIONS angstrom
Na 4.138 0.000 0.000
Na 7.315 0.000 0.000
Na 0.000 1.581 0.000
Na 0.000 10.147 0.000
Sr 5.727 -2.077 3.039
Sr 3.729 5.864 -3.141
Sr 1.998 0.000 2.934
Sr 2.983 3.655 0.000
Sr 2.744 -2.209 6.075
Sr 5.727 2.077 3.039
Sr 0.000 3.787 3.035
Sr 2.983 8.073 0.000
Sr 2.744 2.209 6.075
Sr 3.729 5.864 3.141
Sr 1.998 0.000 9.216
Sr 0.000 7.941 3.035
Tl 0.000 5.864 0.000
Tl 0.000 0.000 6.075
CELL_PARAMETERS angstrom
-5.727 5.864 6.075
5.727 -5.864 6.075
5.727 5.864 -6.075
! - Crystal system: orthorhombic
! - ρ: 3.16 g/cm3

***

Which structure wins on stability? a wins.

***

a:
! PBE-GGA NaSr6Tl2, relaxed; values from VASP
&SYSTEM
  ibrav = 0, nat = 18, ntyp = 3
/
ATOMIC_SPECIES
Na 22.99 Na.upf
Sr 87.62 Sr.upf
Tl 204.38 Tl.upf
ATOMIC_POSITIONS angstrom
Na 0.000 0.000 0.000
Na -3.090 4.809 5.400
Sr -1.988 1.450 4.720
Sr -5.078 3.359 10.120
Sr -0.228 6.651 4.619
Sr -3.317 7.777 10.019
Sr 1.581 0.493 3.008
Sr -1.509 4.316 8.408
Sr 2.938 5.303 2.393
Sr -0.152 9.125 7.793
Sr 4.747 1.842 0.782
Sr 1.657 2.968 6.182
Sr 6.507 6.260 0.680
Sr 3.418 8.168 6.081
Tl -3.192 1.190 8.172
Tl -0.102 3.620 2.772
Tl 1.532 5.999 8.029
Tl 4.621 8.429 2.629
CELL_PARAMETERS angstrom
7.608 0.000 0.000
0.000 9.618 0.000
-6.179 0.000 10.801
! - Crystal system: monoclinic
! - ρ: 4.02 g/cm3

***

b:
! PBE-GGA NaSr6Tl2, relaxed; values from VASP
&SYSTEM
  ibrav = 0, nat = 18, ntyp = 3
/
ATOMIC_SPECIES
Na 22.99 Na.upf
Sr 87.62 Sr.upf
Tl 204.38 Tl.upf
ATOMIC_POSITIONS angstrom
Na 0.000 0.000 0.000
Na 0.000 0.000 6.533
Sr 5.403 3.371 -3.416
Sr 3.161 2.133 0.000
Sr 7.646 2.133 0.000
Sr 2.035 5.719 -2.166
Sr 3.368 0.000 4.367
Sr 0.000 2.348 3.117
Sr 5.403 3.371 3.416
Sr 2.035 5.719 2.166
Sr 3.368 0.000 8.699
Sr -2.243 3.586 6.533
Sr 2.243 3.586 6.533
Sr 0.000 2.348 9.949
Tl 5.403 0.000 1.656
Tl 0.000 3.783 0.000
Tl 0.000 7.655 0.000
Tl 0.000 5.719 4.877
CELL_PARAMETERS angstrom
-5.403 5.719 6.533
5.403 -5.719 6.533
5.403 5.719 -6.533
! - Crystal system: orthorhombic
! - ρ: 3.94 g/cm3

***

Which structure wins on stability? b wins.